## PmZrOs2 (PBE-GGA)

Data for an optimized crystal structure of PmZrOs2.

Cell: 3.3548 3.3548 6.9314 Å, 90.00 90.00 90.00°
Positions (direct):
Os  0.0000  0.0000  0.7753
Os  0.0000  0.0000  0.2247
Zr  0.5000  0.5000  0.0000
Pm  0.5000  0.5000  0.5000

Values from the calculation:
**ΔE_f**: -164.1 meV per atom
**D(E_F)**: 0.575 states/eV per atom
**Final energy**: -9.104 eV/atom
**Space group**: P4/mmm (123)